No. 1
Here is a relaxed LaMg3Ru crystal from the Alexandria database. Energies are from PBE.

```
data_LaMg3Ru
_chemical_formula_sum 'La1 Mg3 Ru1'
_cell_length_a 5.662
_cell_length_b 5.662
_cell_length_c 5.662
_cell_angle_alpha 90.00
_cell_angle_beta 90.00
_cell_angle_gamma 90.00
_symmetry_space_group_name_H-M 'P 1'
_symmetry_Int_Tables_number 1
_symmetry_space_group_name_Hall 'P 1'
loop_
_atom_site_label
_atom_site_type_symbol
_atom_site_fract_x
_atom_site_fract_y
_atom_site_fract_z
La1 La 0.000 0.000 0.000
Mg1 Mg 0.000 0.000 0.500
Mg2 Mg 0.000 0.500 0.000
Mg3 Mg 0.500 0.000 0.000
Ru1 Ru 0.500 0.500 0.500
```

Computed properties:
The value obtained for the energy of formation from the pure elements is 200 kJ per mole of atoms.

=====

No. 2
Here is a relaxed La2MgRu2 crystal from the Alexandria database. Energies are from PBE.

```
data_La2MgRu2
_chemical_formula_sum 'La4 Mg2 Ru4'
_cell_length_a 7.410
_cell_length_b 7.410
_cell_length_c 4.227
_cell_angle_alpha 90.00
_cell_angle_beta 90.00
_cell_angle_gamma 90.00
_symmetry_space_group_name_H-M 'P 1'
_symmetry_Int_Tables_number 1
_symmetry_space_group_name_Hall 'P 1'
loop_
_atom_site_label
_atom_site_type_symbol
_atom_site_fract_x
_atom_site_fract_y
_atom_site_fract_z
La1 La 0.172 0.328 0.000
La2 La 0.328 0.828 0.000
La3 La 0.672 0.172 0.000
La4 La 0.828 0.672 0.000
Mg1 Mg 0.000 0.000 0.500
Mg2 Mg 0.500 0.500 0.500
Ru1 Ru 0.133 0.633 0.500
Ru2 Ru 0.367 0.133 0.500
Ru3 Ru 0.633 0.867 0.500
Ru4 Ru 0.867 0.367 0.500
```

Computed properties:
The value obtained for the energy of formation from the pure elements is -13 kJ per mole of atoms.

=====

No. 3
Here is a relaxed La6Mg23Ru crystal from the Alexandria database. Energies are from PBE.

```
data_La6Mg23Ru
_chemical_formula_sum 'La6 Mg23 Ru1'
_cell_length_a 10.349
_cell_length_b 10.349
_cell_length_c 10.349
_cell_angle_alpha 60.00
_cell_angle_beta 60.00
_cell_angle_gamma 60.00
_symmetry_space_group_name_H-M 'P 1'
_symmetry_Int_Tables_number 1
_symmetry_space_group_name_Hall 'P 1'
loop_
_atom_site_label
_atom_site_type_symbol
_atom_site_fract_x
_atom_site_fract_y
_atom_site_fract_z
La1 La 0.197 0.197 0.803
La2 La 0.197 0.803 0.197
La3 La 0.197 0.803 0.803
La4 La 0.803 0.197 0.197
La5 La 0.803 0.197 0.803
La6 La 0.803 0.803 0.197
Mg1 Mg 0.000 0.000 0.500
Mg2 Mg 0.000 0.500 0.000
Mg3 Mg 0.000 0.500 0.500
Mg4 Mg 0.138 0.621 0.621
Mg5 Mg 0.173 0.173 0.173
Mg6 Mg 0.173 0.173 0.482
Mg7 Mg 0.173 0.482 0.173
Mg8 Mg 0.379 0.379 0.379
Mg9 Mg 0.379 0.379 0.862
Mg10 Mg 0.379 0.862 0.379
Mg11 Mg 0.482 0.173 0.173
Mg12 Mg 0.500 0.000 0.000
Mg13 Mg 0.500 0.000 0.500
Mg14 Mg 0.500 0.500 0.000
Mg15 Mg 0.500 0.500 0.500
Mg16 Mg 0.518 0.827 0.827
Mg17 Mg 0.621 0.138 0.621
Mg18 Mg 0.621 0.621 0.138
Mg19 Mg 0.621 0.621 0.621
Mg20 Mg 0.827 0.518 0.827
Mg21 Mg 0.827 0.827 0.518
Mg22 Mg 0.827 0.827 0.827
Mg23 Mg 0.862 0.379 0.379
Ru1 Ru 0.000 0.000 0.000
```

Computed properties:
The value obtained for the energy of formation from the pure elements is -13 kJ per mole of atoms.

=====

No. 4
Here is a relaxed La3Mg3Ru2 crystal from the Alexandria database. Energies are from PBE.

```
data_La3Mg3Ru2
_chemical_formula_sum 'La3 Mg3 Ru2'
_cell_length_a 8.150
_cell_length_b 8.150
_cell_length_c 5.244
_cell_angle_alpha 97.41
_cell_angle_beta 97.41
_cell_angle_gamma 36.88
_symmetry_space_group_name_H-M 'P 1'
_symmetry_Int_Tables_number 1
_symmetry_space_group_name_Hall 'P 1'
loop_
_atom_site_label
_atom_site_type_symbol
_atom_site_fract_x
_atom_site_fract_y
_atom_site_fract_z
La1 La 0.000 0.000 0.000
La2 La 0.170 0.170 0.578
La3 La 0.830 0.830 0.422
Mg1 Mg 0.363 0.363 0.964
Mg2 Mg 0.500 0.500 0.500
Mg3 Mg 0.637 0.637 0.036
Ru1 Ru 0.200 0.200 0.116
Ru2 Ru 0.800 0.800 0.884
```

Computed properties:
The value obtained for the energy of formation from the pure elements is -18 kJ per mole of atoms.

=====

No. 5
Here is a relaxed La3MgRu2 crystal from the Alexandria database. Energies are from PBE.

```
data_La3MgRu2
_chemical_formula_sum 'La12 Mg4 Ru8'
_cell_length_a 8.600
_cell_length_b 8.947
_cell_length_c 11.140
_cell_angle_alpha 90.00
_cell_angle_beta 128.48
_cell_angle_gamma 90.00
_symmetry_space_group_name_H-M 'P 1'
_symmetry_Int_Tables_number 1
_symmetry_space_group_name_Hall 'P 1'
loop_
_atom_site_label
_atom_site_type_symbol
_atom_site_fract_x
_atom_site_fract_y
_atom_site_fract_z
La1 La 0.233 0.032 0.460
La2 La 0.233 0.468 0.960
La3 La 0.242 0.025 0.894
La4 La 0.242 0.475 0.394
La5 La 0.243 0.706 0.666
La6 La 0.243 0.794 0.166
La7 La 0.757 0.206 0.834
La8 La 0.757 0.294 0.334
La9 La 0.758 0.525 0.606
La10 La 0.758 0.975 0.106
La11 La 0.767 0.532 0.040
La12 La 0.767 0.968 0.540
Mg1 Mg 0.288 0.203 0.209
Mg2 Mg 0.288 0.297 0.709
Mg3 Mg 0.712 0.703 0.291
Mg4 Mg 0.712 0.797 0.791
Ru1 Ru 0.029 0.732 0.293
Ru2 Ru 0.029 0.768 0.793
Ru3 Ru 0.463 0.014 0.751
Ru4 Ru 0.463 0.486 0.251
Ru5 Ru 0.537 0.514 0.749
Ru6 Ru 0.537 0.986 0.249
Ru7 Ru 0.971 0.232 0.207
Ru8 Ru 0.971 0.268 0.707
```

Computed properties:
The value obtained for the energy of formation from the pure elements is -17 kJ per mole of atoms.

=====

No. 6
Here is a relaxed La2MgRu2 crystal from the Alexandria database. Energies are from PBE.

```
data_La2MgRu2
_chemical_formula_sum 'La4 Mg2 Ru4'
_cell_length_a 6.015
_cell_length_b 6.015
_cell_length_c 8.364
_cell_angle_alpha 106.10
_cell_angle_beta 106.10
_cell_angle_gamma 54.09
_symmetry_space_group_name_H-M 'P 1'
_symmetry_Int_Tables_number 1
_symmetry_space_group_name_Hall 'P 1'
loop_
_atom_site_label
_atom_site_type_symbol
_atom_site_fract_x
_atom_site_fract_y
_atom_site_fract_z
La1 La 0.019 0.280 0.138
La2 La 0.280 0.019 0.638
La3 La 0.720 0.981 0.362
La4 La 0.981 0.720 0.862
Mg1 Mg 0.403 0.597 0.250
Mg2 Mg 0.597 0.403 0.750
Ru1 Ru 0.190 0.525 0.469
Ru2 Ru 0.475 0.810 0.031
Ru3 Ru 0.525 0.190 0.969
Ru4 Ru 0.810 0.475 0.531
```

Computed properties:
The value obtained for the energy of formation from the pure elements is -21 kJ per mole of atoms.